Entry from the Alexandria database: crystalline Cu2MoSe4 at its relaxed geometry (GGA-PBE).

Results
**Final energy**: -0.1861 Ha/atom
**Formation energy (no corrections)**: -34.3 kJ per mole of atoms

Structure (CIF):
```
data_Cu2MoSe4
_chemical_formula_sum 'Cu2 Mo1 Se4'
_symmetry_space_group_name_H-M 'P -4 2 m'
_symmetry_Int_Tables_number 111
_cell_length_a 5.585
_cell_length_b 5.585
_cell_length_c 5.960
_cell_angle_alpha 90.00
_cell_angle_beta 90.00
_cell_angle_gamma 90.00
loop_
_symmetry_equiv_pos_as_xyz
'x,y,z'
'y,-x,-z'
'-x,-y,z'
'-y,x,-z'
'x,-y,-z'
'y,x,z'
'-x,y,-z'
'-y,-x,z'
loop_
_atom_site_label
_atom_site_fract_x
_atom_site_fract_y
_atom_site_fract_z
Cu1 0.000 0.500 0.000
Mo1 0.000 0.000 0.000
Se1 0.242 0.242 0.239
```

***

Entry from the Alexandria database: crystalline CuMo2Se at its relaxed geometry (GGA-PBE).

Results
**N(E_F)**: 5.3 states/eV/cell
**Final energy**: -0.2472 Ha/atom
**Formation energy (no corrections)**: 56.4 kJ per mole of atoms

Structure (CIF):
```
data_CuMo2Se
_chemical_formula_sum 'Cu2 Mo4 Se2'
_symmetry_space_group_name_H-M 'C m m m'
_symmetry_Int_Tables_number 65
_symmetry_space_group_name_Hall '-C 2 2'
_cell_length_a 3.284
_cell_length_b 4.387
_cell_length_c 8.634
_cell_angle_alpha 90.00
_cell_angle_beta 90.00
_cell_angle_gamma 90.00
loop_
_atom_site_label
_atom_site_fract_x
_atom_site_fract_y
_atom_site_fract_z
Cu1 0.000 0.000 0.000
Mo1 0.000 0.500 0.242
Se1 0.000 0.000 0.500
```

***

Entry from the Alexandria database: crystalline CuMoSe at its relaxed geometry (GGA-PBE).

Results
**N(E_F)**: 1.8 states/eV/cell
**Polymorph energy (0 for the lowest one)**: 368.2 meV/atom
**Final energy**: -0.2108 Ha/atom
**Formation energy (no corrections)**: 38.6 kJ per mole of atoms

Structure (CIF):
```
data_CuMoSe
_chemical_formula_sum 'Cu1 Mo1 Se1'
_symmetry_space_group_name_H-M 'P -6 m 2'
_symmetry_Int_Tables_number 187
_symmetry_space_group_name_Hall 'P -6 2'
_cell_length_a 4.5093
_cell_length_b 4.5093
_cell_length_c 2.6392
_cell_angle_alpha 90.00
_cell_angle_beta 90.00
_cell_angle_gamma 120.00
loop_
_atom_site_label
_atom_site_fract_x
_atom_site_fract_y
_atom_site_fract_z
Cu1 0.0000 0.0000 0.0000
Mo1 0.3333 0.6667 0.5000
Se1 0.6667 0.3333 0.5000
```

***

Entry from the Alexandria database: crystalline CuMo2Se at its relaxed geometry (GGA-PBE).

Results
**N(E_F)**: 3.3 states/eV/cell
**Final energy**: -0.2541 Ha/atom
**Formation energy (no corrections)**: 38.2 kJ per mole of atoms

Structure (CIF):
```
data_CuMo2Se
_chemical_formula_sum 'Cu1 Mo2 Se1'
_symmetry_space_group_name_H-M 'P 1 2/m 1'
_symmetry_Int_Tables_number 10
_cell_length_a 2.889
_cell_length_b 4.062
_cell_length_c 5.422
_cell_angle_alpha 90.00
_cell_angle_beta 102.05
_cell_angle_gamma 90.00
loop_
_symmetry_equiv_pos_as_xyz
'x,y,z'
'-x,-y,-z'
'-x,y,-z'
'x,-y,z'
loop_
_atom_site_label
_atom_site_fract_x
_atom_site_fract_y
_atom_site_fract_z
Cu1 0.000 0.000 0.000
Mo1 0.333 0.500 0.761
Se1 0.000 0.000 0.500
```

***

Entry from the Alexandria database: crystalline CuMo2Se at its relaxed geometry (GGA-PBE).

Results
**N(E_F)**: 5.0 states/eV/cell
**Final energy**: -0.2561 Ha/atom
**Formation energy (no corrections)**: 32.9 kJ per mole of atoms

Structure (CIF):
```
data_CuMo2Se
_chemical_formula_sum 'Cu2 Mo4 Se2'
_symmetry_space_group_name_H-M 'C 1 2/m 1'
_symmetry_Int_Tables_number 12
_cell_length_a 8.783
_cell_length_b 3.147
_cell_length_c 4.553
_cell_angle_alpha 90.00
_cell_angle_beta 99.42
_cell_angle_gamma 90.00
loop_
_symmetry_equiv_pos_as_xyz
'x,y,z'
'-x,-y,-z'
'-x,y,-z'
'x,-y,z'
'x+1/2,y+1/2,z'
'-x+1/2,-y+1/2,-z'
'-x+1/2,y+1/2,-z'
'x+1/2,-y+1/2,z'
loop_
_atom_site_label
_atom_site_fract_x
_atom_site_fract_y
_atom_site_fract_z
Cu1 0.000 0.000 0.000
Mo1 0.244 0.500 0.230
Se1 0.000 0.500 0.500
```

***

Entry from the Alexandria database: crystalline CuMoSe at its relaxed geometry (GGA-PBE).

Results
**N(E_F)**: 8.6 states/eV/cell
**Polymorph energy (0 for the lowest one)**: 405.9 meV/atom
**Final energy**: -0.2095 Ha/atom
**Formation energy (no corrections)**: 42.2 kJ per mole of atoms

Structure (CIF):
```
data_CuMoSe
_chemical_formula_sum 'Cu4 Mo4 Se4'
_symmetry_space_group_name_H-M 'F m m 2'
_symmetry_Int_Tables_number 42
_symmetry_space_group_name_Hall 'F 2 -2'
_cell_length_a 3.323
_cell_length_b 4.661
_cell_length_c 13.392
_cell_angle_alpha 90.00
_cell_angle_beta 90.00
_cell_angle_gamma 90.00
loop_
_atom_site_label
_atom_site_fract_x
_atom_site_fract_y
_atom_site_fract_z
Cu1 0.000 0.000 0.000
Mo1 0.000 0.000 0.352
Se1 0.000 0.000 0.707
```

***

Look up the final energy of the sixth one.
-0.2095 Ha/atom